(1)
Density functional theory data (PBE) for a relaxed structure of TbSm3Er12.

The structure in POSCAR format:
```
TbSm3Er12
1.0
4.9916 0.0000 0.0000
0.0000 4.9916 0.0000
0.0000 0.0000 19.9849
Tb Sm Er
1 3 12
direct
0.0000 0.0000 0.0000
0.0000 0.0000 0.2496
0.0000 0.0000 0.5000
0.0000 0.0000 0.7504
0.0000 0.5000 0.1241
0.0000 0.5000 0.3746
0.0000 0.5000 0.6254
0.0000 0.5000 0.8759
0.5000 0.0000 0.1241
0.5000 0.0000 0.3746
0.5000 0.0000 0.6254
0.5000 0.0000 0.8759
0.5000 0.5000 0.0000
0.5000 0.5000 0.2493
0.5000 0.5000 0.5000
0.5000 0.5000 0.7507
```

volume	497.9	Å³ per cell
total magnetic moment	0.000	μB/cell
E	-0.16811	hartree per atom
space group	P4/mmm, No. 123
formation energy	0.35	eV/f.u.

(2)
Density functional theory data (PBE) for a relaxed structure of Mg2HOs.

The structure in POSCAR format:
```
Mg2HOs
1.0
2.2482 -5.3149 0.0000
2.2482 5.3149 0.0000
0.0000 0.0000 4.4297
Mg H Os
4 2 2
direct
0.0710 0.9290 0.7500
0.2517 0.7483 0.2500
0.7483 0.2517 0.7500
0.9290 0.0710 0.2500
0.2718 0.7282 0.7500
0.7282 0.2718 0.2500
0.4300 0.5700 0.7500
0.5700 0.4300 0.2500
```

volume	105.9	Å³ per cell
total magnetic moment	0.000	μB/cell
E above lowest polymorph	57	meV per atom
E	-0.16264	hartree per atom
space group	Cmcm, No. 63